Sm3HoErTm: optimized geometry, PBE.

Properties
Formation energy   0.021 eV/atom
Calculated volume   32.048 Å³/atom
Total energy   -27.6 eV/f.u.

Lattice parameters (Å, degrees): 5.035 7.979 10.087 90.00 90.00 108.39
Fractional positions:
1 Tm 0.165 0.331 0.250
2 Tm 0.835 0.669 0.750
3 Sm 0.834 0.667 0.250
4 Sm 0.334 0.669 0.000
5 Sm 0.666 0.331 0.000
6 Sm 0.334 0.669 0.500
7 Sm 0.166 0.333 0.750
8 Sm 0.666 0.331 0.500
9 Ho 0.000 0.000 0.000
10 Ho 0.000 0.000 0.500
11 Er 0.501 0.002 0.250
12 Er 0.499 0.998 0.750

Sm6Ho3ErTm2: optimized geometry, PBE.

Properties
Formation energy   0.016 eV/atom
Calculated volume   31.974 Å³/atom
Total energy   -55.4 eV/f.u.

Lattice parameters (Å, degrees): 6.191 6.191 11.739 95.02 95.02 119.98
Fractional positions:
1 Sm 0.083 0.417 0.249
2 Sm 0.583 0.917 0.751
3 Sm 0.917 0.583 0.751
4 Sm 0.750 0.750 0.249
5 Sm 0.250 0.250 0.751
6 Sm 0.417 0.083 0.249
7 Ho 0.167 0.833 0.500
8 Ho 0.500 0.500 0.500
9 Ho 0.833 0.167 0.500
10 Tm 0.333 0.667 0.000
11 Tm 0.667 0.333 0.000
12 Er 0.000 0.000 0.000

Sm3HoEr6Tm2: optimized geometry, PBE.

Properties
Formation energy   0.022 eV/atom
Calculated volume   31.157 Å³/atom
Total energy   -54.8 eV/f.u.

Lattice parameters (Å, degrees): 6.122 6.122 11.692 95.00 95.00 119.95
Fractional positions:
1 Er 0.584 0.918 0.753
2 Er 0.749 0.749 0.247
3 Er 0.416 0.082 0.247
4 Er 0.918 0.584 0.753
5 Er 0.082 0.416 0.247
6 Er 0.251 0.251 0.753
7 Sm 0.500 0.500 0.500
8 Sm 0.167 0.833 0.500
9 Sm 0.833 0.167 0.500
10 Tm 0.667 0.333 0.000
11 Tm 0.333 0.667 0.000
12 Ho 0.000 0.000 0.000

SmHoEr2Tm6: optimized geometry, PBE.

Properties
Formation energy   0.124 eV/atom
Calculated volume   31.093 Å³/atom
Total energy   -44.0 eV/f.u.

Lattice parameters (Å, degrees): 9.393 8.679 8.679 117.73 93.52 93.52
Fractional positions:
1 Tm 0.942 0.875 0.249
2 Tm 0.882 0.290 0.508
3 Tm 0.558 0.751 0.125
4 Tm 0.317 0.980 0.432
5 Tm 0.382 0.508 0.290
6 Tm 0.618 0.492 0.710
7 Tm 0.442 0.249 0.875
8 Tm 0.058 0.125 0.751
9 Tm 0.118 0.710 0.492
10 Tm 0.683 0.020 0.568
11 Tm 0.817 0.432 0.980
12 Tm 0.183 0.568 0.020
13 Ho 0.750 0.590 0.410
14 Ho 0.250 0.410 0.590
15 Er 0.954 0.695 0.802
16 Er 0.454 0.802 0.695
17 Er 0.546 0.198 0.305
18 Er 0.046 0.305 0.198
19 Sm 0.250 0.974 0.026
20 Sm 0.750 0.026 0.974

Sm2Ho6ErTm: optimized geometry, PBE.

Properties
Formation energy   0.117 eV/atom
Calculated volume   31.777 Å³/atom
Total energy   -44.8 eV/f.u.

Lattice parameters (Å, degrees): 9.588 8.719 8.719 118.11 94.44 94.44
Fractional positions:
1 Ho 0.187 0.574 0.020
2 Ho 0.943 0.874 0.252
3 Ho 0.620 0.498 0.709
4 Ho 0.687 0.020 0.574
5 Ho 0.557 0.748 0.126
6 Ho 0.880 0.291 0.502
7 Ho 0.380 0.502 0.291
8 Ho 0.120 0.709 0.498
9 Ho 0.443 0.252 0.874
10 Ho 0.313 0.980 0.426
11 Ho 0.057 0.126 0.748
12 Ho 0.813 0.426 0.980
13 Er 0.750 0.020 0.980
14 Er 0.250 0.980 0.020
15 Sm 0.543 0.195 0.299
16 Sm 0.457 0.805 0.701
17 Sm 0.043 0.299 0.195
18 Sm 0.957 0.701 0.805
19 Tm 0.250 0.408 0.592
20 Tm 0.750 0.592 0.408

Sm2HoEr4Tm: optimized geometry, PBE.

Properties
Formation energy   0.443 eV/atom
Calculated volume   32.671 Å³/atom
Total energy   -33.2 eV/f.u.

Lattice parameters (Å, degrees): 9.452 9.452 11.706 128.26 128.26 88.71
Each line ends with the local moment (μB).
Fractional positions:
1 Tm 0.000 0.000 0.000  0.28
2 Tm 0.500 0.500 0.500  0.28
3 Ho 0.000 0.500 0.000  0.29
4 Ho 0.000 0.500 0.500  0.29
5 Er 0.753 0.749 0.997  0.31
6 Er 0.253 0.745 0.499  0.31
7 Er 0.247 0.251 0.003  0.31
8 Er 0.747 0.255 0.501  0.31
9 Er 0.755 0.247 0.001  0.31
10 Er 0.751 0.747 0.503  0.31
11 Er 0.245 0.753 0.999  0.31
12 Er 0.249 0.253 0.497  0.31
13 Sm 0.500 0.000 0.000  0.28
14 Sm 0.500 0.500 0.000  0.25
15 Sm 0.000 0.000 0.500  0.25
16 Sm 0.500 0.000 0.500  0.28

SmYHo5Er2: optimized geometry, PBE.

Properties
Formation energy   0.297 eV/atom
Calculated volume   32.110 Å³/atom
Total energy   -40.5 eV/f.u.

Lattice parameters (Å, degrees): 8.910 8.910 9.628 117.56 117.56 90.00
Fractional positions:
1 Ho 0.429 0.333 0.262
2 Ho 0.833 0.929 0.262
3 Ho 0.929 0.429 0.262
4 Ho 0.500 0.500 0.000
5 Ho 0.167 0.071 0.738
6 Ho 0.071 0.571 0.738
7 Ho 0.667 0.167 0.738
8 Ho 0.000 0.000 0.000
9 Ho 0.571 0.667 0.738
10 Ho 0.333 0.833 0.262
11 Y 0.250 0.250 0.500
12 Y 0.750 0.750 0.500
13 Er 0.387 0.887 0.000
14 Er 0.887 0.613 0.000
15 Er 0.113 0.387 0.000
16 Er 0.613 0.113 0.000
17 Sm 0.250 0.750 0.500
18 Sm 0.750 0.250 0.500

SmYHoEr: optimized geometry, PBE.

Properties
Formation energy   0.023 eV/atom
Calculated volume   31.823 Å³/atom
Relative energy among the computed polymorphs   0 meV per atom
Total energy   -20.2 eV/f.u.

Lattice parameters (Å, degrees): 5.036 5.036 6.154 114.14 114.15 90.00
Fractional positions:
1 Ho 0.870 0.370 0.739
2 Sm 0.120 0.120 0.239
3 Y 0.370 0.870 0.740
4 Er 0.620 0.620 0.240

Sm5YHoEr2: optimized geometry, PBE.

Properties
Formation energy   0.155 eV/atom
Calculated volume   33.514 Å³/atom
Total energy   -42.4 eV/f.u.

Lattice parameters (Å, degrees): 5.626 10.499 10.600 90.00 90.00 105.54
Fractional positions:
1 Ho 0.199 0.398 0.012
2 Ho 0.801 0.602 0.512
3 Sm 0.613 0.226 0.523
4 Sm 0.701 0.403 0.208
5 Sm 0.519 0.038 0.242
6 Sm 0.279 0.559 0.312
7 Sm 0.299 0.597 0.708
8 Sm 0.016 0.033 0.019
9 Sm 0.387 0.774 0.023
10 Sm 0.984 0.967 0.519
11 Sm 0.481 0.962 0.742
12 Sm 0.721 0.441 0.812
13 Er 0.886 0.771 0.813
14 Er 0.114 0.229 0.313
15 Er 0.112 0.224 0.738
16 Er 0.888 0.776 0.238
17 Y 0.591 0.181 0.958
18 Y 0.409 0.819 0.458

Sm2Y6HoEr2: optimized geometry, PBE.

Properties
Formation energy   0.147 eV/atom
Calculated volume   32.805 Å³/atom
Total energy   -60.3 eV/f.u.

Lattice parameters (Å, degrees): 6.644 6.644 12.021 101.54 101.54 129.61
Fractional positions:
1 Er 0.704 0.296 0.500
2 Er 0.296 0.704 0.500
3 Y 0.136 0.443 0.789
4 Y 0.557 0.864 0.211
5 Y 0.864 0.557 0.211
6 Y 0.706 0.706 0.705
7 Y 0.294 0.294 0.295
8 Y 0.443 0.136 0.789
9 Ho 0.000 0.000 0.500
10 Sm 0.865 0.135 0.000
11 Sm 0.135 0.865 0.000

Sm3Y6HoEr2: optimized geometry, PBE.

Properties
Formation energy   0.020 eV/atom
Calculated volume   32.158 Å³/atom
Total energy   -66.4 eV/f.u.

Lattice parameters (Å, degrees): 6.186 6.186 11.820 94.99 94.99 119.95
Fractional positions:
1 Y 0.749 0.749 0.247
2 Y 0.082 0.416 0.247
3 Y 0.416 0.082 0.247
4 Y 0.918 0.584 0.753
5 Y 0.584 0.918 0.753
6 Y 0.251 0.251 0.753
7 Ho 0.000 0.000 0.000
8 Sm 0.833 0.167 0.500
9 Sm 0.167 0.833 0.500
10 Sm 0.500 0.500 0.500
11 Er 0.333 0.667 0.000
12 Er 0.667 0.333 0.000

Sm2Y2HoEr4: optimized geometry, PBE.

Properties
Formation energy   -0.003 eV/atom
Calculated volume   31.693 Å³/atom
Total energy   -45.2 eV/f.u.

Lattice parameters (Å, degrees): 3.580 9.466 9.515 115.25 90.00 100.90
Fractional positions:
1 Ho 0.000 0.000 0.000
2 Sm 0.666 0.331 0.001
3 Sm 0.334 0.669 0.999
4 Er 0.481 0.962 0.666
5 Er 0.815 0.630 0.664
6 Er 0.519 0.038 0.334
7 Er 0.185 0.370 0.336
8 Y 0.147 0.294 0.663
9 Y 0.853 0.706 0.337

Sm2Y6Ho3Er: optimized geometry, PBE.

Properties
Formation energy   0.021 eV/atom
Calculated volume   31.958 Å³/atom
Total energy   -66.3 eV/f.u.

Lattice parameters (Å, degrees): 6.169 6.169 11.808 94.98 94.98 119.95
Fractional positions:
1 Sm 0.667 0.333 0.000
2 Sm 0.333 0.667 0.000
3 Er 0.000 0.000 0.000
4 Y 0.417 0.084 0.251
5 Y 0.752 0.752 0.252
6 Y 0.916 0.583 0.749
7 Y 0.248 0.248 0.748
8 Y 0.084 0.417 0.251
9 Y 0.583 0.916 0.749
10 Ho 0.166 0.834 0.500
11 Ho 0.500 0.500 0.500
12 Ho 0.834 0.166 0.500

SmYHoEr3: optimized geometry, PBE.

Properties
Formation energy   0.206 eV/atom
Calculated volume   32.029 Å³/atom
Total energy   -28.2 eV/f.u.

Lattice parameters (Å, degrees): 5.711 9.669 7.285 90.36 90.00 107.18
Fractional positions:
1 Ho 0.649 0.297 0.459
2 Ho 0.351 0.703 0.541
3 Er 0.784 0.568 0.750
4 Er 0.830 0.659 0.253
5 Er 0.523 0.046 0.745
6 Er 0.477 0.954 0.255
7 Er 0.170 0.341 0.747
8 Er 0.216 0.432 0.250
9 Sm 0.961 0.922 0.749
10 Sm 0.039 0.078 0.251
11 Y 0.648 0.296 0.038
12 Y 0.352 0.704 0.962

SmY5HoEr2: optimized geometry, PBE.

Properties
Formation energy   0.157 eV/atom
Calculated volume   32.871 Å³/atom
Total energy   -49.3 eV/f.u.

Lattice parameters (Å, degrees): 5.609 10.422 10.509 90.00 90.00 105.61
Fractional positions:
1 Y 0.721 0.443 0.814
2 Y 0.388 0.777 0.025
3 Y 0.301 0.602 0.705
4 Y 0.984 0.967 0.523
5 Y 0.521 0.043 0.238
6 Y 0.612 0.223 0.525
7 Y 0.279 0.557 0.314
8 Y 0.016 0.033 0.023
9 Y 0.479 0.957 0.738
10 Y 0.699 0.398 0.205
11 Er 0.887 0.775 0.818
12 Er 0.113 0.225 0.318
13 Er 0.110 0.220 0.737
14 Er 0.890 0.780 0.237
15 Sm 0.803 0.607 0.514
16 Sm 0.197 0.393 0.014
17 Ho 0.587 0.174 0.951
18 Ho 0.413 0.826 0.451

SmYHo2Er6: optimized geometry, PBE.

Properties
Formation energy   0.120 eV/atom
Calculated volume   31.631 Å³/atom
Total energy   -46.5 eV/f.u.

Lattice parameters (Å, degrees): 9.486 8.728 8.728 118.04 93.78 93.78
Fractional positions:
1 Er 0.381 0.507 0.291
2 Er 0.682 0.021 0.569
3 Er 0.943 0.876 0.250
4 Er 0.557 0.750 0.124
5 Er 0.818 0.431 0.979
6 Er 0.443 0.250 0.876
7 Er 0.057 0.124 0.750
8 Er 0.619 0.493 0.709
9 Er 0.881 0.291 0.507
10 Er 0.182 0.569 0.021
11 Er 0.119 0.709 0.493
12 Er 0.318 0.979 0.431
13 Ho 0.455 0.803 0.697
14 Ho 0.545 0.197 0.303
15 Ho 0.045 0.303 0.197
16 Ho 0.955 0.697 0.803
17 Y 0.250 0.409 0.591
18 Y 0.750 0.591 0.409
19 Sm 0.750 0.025 0.975
20 Sm 0.250 0.975 0.025

Sm6YHo2Er3: optimized geometry, PBE.

Properties
Formation energy   0.015 eV/atom
Calculated volume   32.214 Å³/atom
Total energy   -57.4 eV/f.u.

Lattice parameters (Å, degrees): 6.205 6.205 11.774 95.02 95.02 119.98
Fractional positions:
1 Ho 0.667 0.333 0.000
2 Ho 0.333 0.667 0.000
3 Sm 0.916 0.582 0.749
4 Sm 0.250 0.250 0.749
5 Sm 0.418 0.084 0.251
6 Sm 0.582 0.916 0.749
7 Sm 0.750 0.750 0.251
8 Sm 0.084 0.418 0.251
9 Er 0.500 0.500 0.500
10 Er 0.833 0.167 0.500
11 Er 0.167 0.833 0.500
12 Y 0.000 0.000 0.000

Sm2YHo2Er: optimized geometry, PBE.

Properties
Formation energy   0.144 eV/atom
Calculated volume   32.497 Å³/atom
Total energy   -28.8 eV/f.u.

Lattice parameters (Å, degrees): 6.793 8.859 6.517 96.12 90.00 90.00
Fractional positions:
1 Y 0.750 0.155 0.683
2 Y 0.250 0.845 0.317
3 Sm 0.250 0.520 0.583
4 Sm 0.250 0.152 0.681
5 Sm 0.750 0.848 0.319
6 Sm 0.750 0.480 0.417
7 Ho 0.001 0.169 0.175
8 Ho 0.999 0.831 0.825
9 Ho 0.499 0.169 0.175
10 Ho 0.501 0.831 0.825
11 Er 0.250 0.492 0.072
12 Er 0.750 0.508 0.928

Sm5Y2HoEr: optimized geometry, PBE.

Properties
Formation energy   0.144 eV/atom
Calculated volume   33.676 Å³/atom
Total energy   -44.4 eV/f.u.

Lattice parameters (Å, degrees): 5.643 10.482 10.641 90.00 90.00 105.61
Fractional positions:
1 Sm 0.702 0.403 0.206
2 Sm 0.018 0.036 0.020
3 Sm 0.519 0.037 0.243
4 Sm 0.298 0.597 0.706
5 Sm 0.982 0.964 0.520
6 Sm 0.389 0.778 0.022
7 Sm 0.611 0.222 0.522
8 Sm 0.481 0.963 0.743
9 Sm 0.719 0.437 0.810
10 Sm 0.281 0.563 0.310
11 Y 0.885 0.770 0.815
12 Y 0.115 0.230 0.315
13 Y 0.889 0.777 0.237
14 Y 0.111 0.223 0.737
15 Er 0.410 0.819 0.461
16 Er 0.590 0.181 0.961
17 Ho 0.800 0.600 0.510
18 Ho 0.200 0.400 0.010